Here is a relaxed ZrTaC3 crystal from Alexandria. Energies are from PBE.

```
data_ZrTaC3
_cell_length_a 4.095
_cell_length_b 4.095
_cell_length_c 4.095
_cell_angle_alpha 90.00
_cell_angle_beta 90.00
_cell_angle_gamma 90.00
_space_group_name_H-M_alt 'P m -3 m'
_space_group_IT_number 221
_space_group_name_Hall '-P 4 2 3'
loop_
_atom_site_label
_atom_site_fract_x
_atom_site_fract_y
_atom_site_fract_z
_atom_site_occupancy
Zr1 0.000 0.000 0.000 1
Ta1 0.500 0.500 0.500 1
C1 0.000 0.500 0.500 1
```

## Properties
The value obtained for the offset from the most stable computed form is 0.000 eV per atom. The value obtained for the theoretical density is 7451 kg/m3. The formation energy comes out at 5.7 eV per formula unit. The total DFT energy (no corrections) is -8.483 eV/atom. For the density of states at the Fermi level, the calculation gives 4.94 states/eV/f.u.

Here is a relaxed SiHgRh2 crystal from Alexandria. Energies are from PBE.

```
data_SiHgRh2
_cell_length_a 3.622
_cell_length_b 4.758
_cell_length_c 7.406
_cell_angle_alpha 90.00
_cell_angle_beta 90.00
_cell_angle_gamma 90.00
_space_group_name_H-M_alt 'I m m m'
_space_group_IT_number 71
_space_group_name_Hall '-I 2 2'
loop_
_atom_site_label
_atom_site_fract_x
_atom_site_fract_y
_atom_site_fract_z
_atom_site_occupancy
Si1 0.000 0.000 0.000 1
Hg1 0.000 0.000 0.500 1
Rh1 0.000 0.500 0.298 1
```

## Properties
The value obtained for the offset from the most stable computed form is 0.247 eV per atom. The value obtained for the theoretical density is 11305 kg/m3. The value obtained for the uncorrected formation energy is -0.228 eV/atom. The total DFT energy (no corrections) is -5.334 eV/atom. For the density of states at the Fermi level, the calculation gives 1.61 states/eV/f.u.

Here is a relaxed ZnGeS2N crystal from Alexandria. Energies are from PBE.

```
data_ZnGeS2N
_cell_length_a 4.841
_cell_length_b 4.841
_cell_length_c 3.820
_cell_angle_alpha 90.00
_cell_angle_beta 90.00
_cell_angle_gamma 90.00
_space_group_name_H-M_alt 'P 4/m m m'
_space_group_IT_number 123
_space_group_name_Hall '-P 4 2'
loop_
_atom_site_label
_atom_site_fract_x
_atom_site_fract_y
_atom_site_fract_z
_atom_site_occupancy
Zn1 0.000 0.000 0.000 1
Ge1 0.500 0.500 0.500 1
S1 0.000 0.500 0.000 1
N1 0.000 0.000 0.500 1
```

## Properties
The value obtained for the offset from the most stable computed form is 0.141 eV per atom. The value obtained for the theoretical density is 4010 kg/m3. The value obtained for the uncorrected formation energy is 0.836 eV/atom. The total DFT energy (no corrections) is -3.658 eV/atom. For the density of states at the Fermi level, the calculation gives 2.47 states/eV/f.u.

Here is a relaxed As2IrSeBr crystal from Alexandria. Energies are from PBE.

```
data_As2IrSeBr
_cell_length_a 4.831
_cell_length_b 4.831
_cell_length_c 5.091
_cell_angle_alpha 90.00
_cell_angle_beta 90.00
_cell_angle_gamma 90.00
_space_group_name_H-M_alt 'P 4/m m m'
_space_group_IT_number 123
_space_group_name_Hall '-P 4 2'
loop_
_atom_site_label
_atom_site_fract_x
_atom_site_fract_y
_atom_site_fract_z
_atom_site_occupancy
As1 0.000 0.500 0.000 1
Ir1 0.000 0.000 0.000 1
Se1 0.500 0.500 0.500 1
Br1 0.000 0.000 0.500 1
```

## Properties
The value obtained for the offset from the most stable computed form is 0.033 eV per atom. The value obtained for the theoretical density is 7002 kg/m3. The value obtained for the uncorrected formation energy is 0.571 eV/atom. The total DFT energy (no corrections) is -4.092 eV/atom. For the density of states at the Fermi level, the calculation gives 5.86 states/eV/f.u.